## Mg2MnGeI (GGA-PBEsol)

Data for a geometry-optimized Mg2MnGeI structure.

Properties
Polymorph energy (0 for the lowest one) in eV/f.u.: 1.83
Electronic total energy in eV per atom: -3.328
Symmetry: P4/mmm

Cell lengths 5.0370, 5.0370, 5.8437 Å; angles 90.00, 90.00, 90.00 degrees
Sites, in units of the cell vectors:
1 Mg 0.0000 0.5000 0.0000
2 Mg 0.5000 0.0000 0.0000
3 Mn 0.0000 0.0000 0.5000
4 Ge 0.5000 0.5000 0.0000
5 I 0.5000 0.5000 0.5000

***

## MgGe2OsI (GGA-PBEsol)

Data for a geometry-optimized MgGe2OsI structure.

Properties
Electronic total energy in eV per atom: -3.647
Symmetry: P4/mmm

Cell lengths 4.8381, 4.8381, 4.8377 Å; angles 90.00, 90.00, 90.00 degrees
Sites, in units of the cell vectors:
1 Mg 0.0000 0.0000 0.0000
2 Ge 0.0000 0.5000 0.0000
3 Ge 0.5000 0.0000 0.0000
4 Os 0.0000 0.0000 0.5000
5 I 0.5000 0.5000 0.5000

***

## MgGeOs2I (GGA-PBEsol)

Data for a geometry-optimized MgGeOs2I structure.

Properties
Electronic total energy in eV per atom: -4.236
Symmetry: P4/mmm

Cell lengths 4.7133, 4.7133, 5.0425 Å; angles 90.00, 90.00, 90.00 degrees
Sites, in units of the cell vectors:
1 Mg 0.0000 0.0000 0.0000
2 Ge 0.5000 0.5000 0.5000
3 Os 0.0000 0.5000 0.0000
4 Os 0.5000 0.0000 0.0000
5 I 0.0000 0.0000 0.5000

***

## Mn3GeI (GGA-PBEsol)

Data for a geometry-optimized Mn3GeI structure.

Properties
Electronic total energy in eV per atom: -5.644
Symmetry: Pm-3m

Cell lengths 4.7140, 4.7140, 4.7140 Å; angles 90.00, 90.00, 90.00 degrees
Sites, in units of the cell vectors:
1 Mn 0.0000 0.0000 0.5000
2 Mn 0.0000 0.5000 0.0000
3 Mn 0.5000 0.0000 0.0000
4 Ge 0.5000 0.5000 0.5000
5 I 0.0000 0.0000 0.0000

***

## MnGeI2N (GGA-PBEsol)

Data for a geometry-optimized MnGeI2N structure.

Properties
Electronic total energy in eV per atom: -5.045
Symmetry: P4/mmm

Cell lengths 5.3790, 5.3790, 3.5348 Å; angles 90.00, 90.00, 90.00 degrees
Sites, in units of the cell vectors:
1 Mn 0.0000 0.0000 0.0000
2 Ge 0.5000 0.5000 0.5000
3 I 0.0000 0.5000 0.0000
4 I 0.5000 0.0000 0.0000
5 N 0.0000 0.0000 0.5000

***

## MnGeI2O (GGA-PBEsol)

Data for a geometry-optimized MnGeI2O structure.

Properties
Electronic total energy in eV per atom: -4.636
Symmetry: P4/mmm

Cell lengths 5.7130, 5.7130, 3.7197 Å; angles 90.00, 90.00, 90.00 degrees
Sites, in units of the cell vectors:
1 Mn 0.0000 0.0000 0.0000
2 Ge 0.5000 0.5000 0.5000
3 I 0.0000 0.5000 0.5000
4 I 0.5000 0.0000 0.5000
5 O 0.5000 0.5000 0.0000

***

## Mn2GeSeI (GGA-PBEsol)

Data for a geometry-optimized Mn2GeSeI structure.

Properties
Electronic total energy in eV per atom: -4.709
Symmetry: P4/mmm

Cell lengths 4.8195, 4.8195, 5.5069 Å; angles 90.00, 90.00, 90.00 degrees
Sites, in units of the cell vectors:
1 Mn 0.0000 0.5000 0.0000
2 Mn 0.5000 0.0000 0.0000
3 Ge 0.0000 0.0000 0.5000
4 Se 0.5000 0.5000 0.5000
5 I 0.0000 0.0000 0.0000

***

## GeI2N2 (GGA-PBEsol)

Data for a geometry-optimized GeI2N2 structure.

Properties
Electronic total energy in eV per atom: -3.675
Symmetry: P4/mmm

Cell lengths 4.0550, 4.0550, 6.5373 Å; angles 90.00, 90.00, 90.00 degrees
Sites, in units of the cell vectors:
1 Ge 0.0000 0.0000 0.0000
2 I 0.0000 0.0000 0.5000
3 I 0.5000 0.5000 0.5000
4 N 0.0000 0.5000 0.0000
5 N 0.5000 0.0000 0.0000